VASP calculation (PBEsol) on TlGaSbTe2 after structural relaxation.

Computed properties:
* ρ: 7.04 g/cm³
* uncorrected formation energy: 0.224 eV/atom
* E: -3.292 eV per atom

Cell and atoms, written as POSCAR:
```
TlGaSbTe2
1.0
5.434 0.000 0.000
0.000 5.434 0.000
0.000 0.000 5.202
Tl Ga Sb Te
1 1 1 2
Direct
0.000 0.000 0.000
0.500 0.500 0.500
0.500 0.500 0.000
0.000 0.500 0.500
0.500 0.000 0.500
```